A plane-wave DFT calculation with PBEsol was carried out for an optimized crystal structure of BeCuP3.

Cell lengths 4.160, 4.160, 4.160 Å; angles 90.00, 90.00, 90.00 degrees
Space group Pm-3m (No. 221)
Unique sites:
Be 0.000 0.000 0.000
Cu 0.500 0.500 0.500
P 0.000 0.000 0.500

Computed properties:
As for the mass density: 3.818 g/cm3. The calculated total energy is -21.71 eV for the cell shown. The calculation puts the formation energy at 799 meV/atom.